Entry 1:
Compound: ZnCd2Re
Source: the Alexandria database
Functional: PBEsol
Structure: optimized geometry

Unit cell a=2.8645 b=2.8645 c=9.5604 alpha=81.38 beta=81.38 gamma=60.00
Positions (direct):
Re (0.5000, 0.5000, 0.5000)
Cd (0.2508, 0.2508, 0.2476)
Cd (0.7492, 0.7492, 0.7524)
Zn (0.0000, 0.0000, 0.0000)

Computed properties:
Space-group type: R-3m
Energy relative to the elements in eV/atom: 0.413
D(E_F) in states/eV/cell: 2.402
Magnetic moment in μB/f.u.: 0.000



Entry 2:
Compound: ZnCd2Re
Source: the Alexandria database
Functional: PBEsol
Structure: optimized geometry

Unit cell a=2.8924 b=4.6863 c=5.5703 alpha=114.88 beta=105.05 gamma=90.00
Positions (direct):
Zn (0.0000, 0.5000, 0.0000)
Cd (0.7424, 0.7424, 0.4849)
Cd (0.2576, 0.2576, 0.5151)
Re (0.5000, 0.0000, 0.0000)

Computed properties:
Space-group type: Immm
Energy relative to the elements in eV/atom: 0.488
D(E_F) in states/eV/cell: 1.763
Magnetic moment in μB/f.u.: 0.000



Entry 3:
Compound: ZnCd2Re
Source: the Alexandria database
Functional: PBEsol
Structure: optimized geometry

Unit cell a=3.8389 b=3.8389 c=5.2599 alpha=111.40 beta=111.40 gamma=90.00
Positions (direct):
Re (0.0000, 0.0000, 0.0000)
Zn (0.5000, 0.5000, 0.0000)
Cd (0.2500, 0.7500, 0.5000)
Cd (0.7500, 0.2500, 0.5000)

Computed properties:
Space-group type: I4/mmm
Energy relative to the elements in eV/atom: 0.563
D(E_F) in states/eV/cell: 3.641
Magnetic moment in μB/f.u.: 0.452



Entry 4:
Compound: Zr2CdRe
Source: the Alexandria database
Functional: PBEsol
Structure: optimized geometry

Unit cell a=3.3173 b=3.3173 c=6.9945 alpha=90.00 beta=90.00 gamma=90.00
Positions (direct):
Zr (0.0000, 0.0000, 0.2775)
Zr (0.0000, 0.0000, 0.7225)
Cd (0.5000, 0.5000, 0.0000)
Re (0.5000, 0.5000, 0.5000)

Computed properties:
Space-group type: P4/mmm
Energy relative to the elements in eV/atom: -0.236
D(E_F) in states/eV/cell: 3.193
Magnetic moment in μB/f.u.: 0.000



energy relative to the elements of number 1 (ZnCd2Re)? 0.413 eV/atom



Which of these has the highest energy relative to the elements? number 3